Below is crystalline Ba2AgPbO5 at its relaxed geometry, with properties calculated at the PBE-GGA level.

The structure in POSCAR format:
```
Ba2AgPbO5
1.0
1.766 -8.008 0.000
1.766 8.008 0.000
0.000 0.000 11.090
Ba Ag Pb O
4 2 2 10
Direct
0.112 0.888 0.500 Ba
0.128 0.872 0.111 Ba
0.872 0.128 0.611 Ba
0.888 0.112 0.000 Ba
0.461 0.539 0.266 Ag
0.539 0.461 0.766 Ag
0.217 0.783 0.820 Pb
0.783 0.217 0.320 Pb
0.078 0.922 0.863 O
0.281 0.719 0.454 O
0.302 0.698 0.187 O
0.351 0.649 0.809 O
0.498 0.502 0.587 O
0.502 0.498 0.087 O
0.649 0.351 0.309 O
0.698 0.302 0.687 O
0.719 0.281 0.954 O
0.922 0.078 0.363 O
```

## Properties
* uncorrected energy: -48.165 eV per formula unit
* theoretical density: 7092 kg/m3
* energy relative to the elements, uncorrected: -1441 meV per atom

---

Below is crystalline Ba4AgPbO at its relaxed geometry, with properties calculated at the PBE-GGA level.

The structure in POSCAR format:
```
Ba4AgPbO
1.0
3.832 -9.500 0.000
3.832 9.500 0.000
0.000 0.000 7.501
Ba Ag Pb O
8 2 2 2
Direct
0.000 0.500 0.000 Ba
0.000 0.500 0.500 Ba
0.065 0.935 0.750 Ba
0.413 0.587 0.750 Ba
0.500 0.000 0.000 Ba
0.500 0.000 0.500 Ba
0.587 0.413 0.250 Ba
0.935 0.065 0.250 Ba
0.381 0.619 0.250 Ag
0.619 0.381 0.750 Ag
0.116 0.884 0.250 Pb
0.884 0.116 0.750 Pb
0.277 0.723 0.750 O
0.723 0.277 0.250 O
```

## Properties
* uncorrected energy: -25.781 eV per formula unit
* theoretical density: 5354 kg/m3
* energy relative to the elements, uncorrected: -939 meV per atom